An optimized crystal structure of YTl5. Source: the Alexandria database, functional GGA-PBE.

## Properties
As for the space group: P-62m. The calculation puts the total energy at -3.075 eV per atom. The calculation puts the formation energy at -26 meV per atom. The calculation puts the energy above the most stable polymorph in this dataset at 47 meV/atom. The magnetization is 0.0 μB/cell. As for the crystal system: hexagonal.

Unit cell a=5.9749 b=5.9749 c=5.7686 alpha=90.00 beta=90.00 gamma=120.00
Sites, in units of the cell vectors:
Y1 0.0000 0.0000 0.5000
Tl1 0.3333 0.6667 0.5000
Tl2 0.6667 0.3333 0.5000
Tl3 0.3314 0.3314 0.0000
Tl4 0.6686 0.0000 0.0000
Tl5 0.0000 0.6686 0.0000